A geometry-optimized Tb2Al2Ga3 structure. Source: the Alexandria database, functional PBE-GGA.

Lattice parameters (Å, degrees): 4.213 7.179 9.716 90.00 102.52 90.00
Positions (direct):
Tb: 0.155 0.250 0.310
Tb: 0.845 0.750 0.690
Tb: 0.945 0.250 0.890
Tb: 0.055 0.750 0.110
Al: 0.677 0.934 0.354
Al: 0.323 0.066 0.646
Al: 0.323 0.434 0.646
Al: 0.677 0.566 0.354
Ga: 0.227 0.750 0.453
Ga: 0.773 0.250 0.547
Ga: 0.557 0.423 0.113
Ga: 0.443 0.577 0.887
Ga: 0.443 0.923 0.887
Ga: 0.557 0.077 0.113

Results
energy = -4.18 eV per atom
formation enthalpy at 0 K = -0.49 eV per atom
magnetic moment = 0.0 μB per formula unit
DOS at the Fermi energy = 0.513 states/eV per atom